1.
# Ta3SiCl, optimized geometry, DFT PBE
# Symmetry: Pm-3m (221)
# E_form (uncorrected) in eV per atom: 0.99
# Energy above the lowest structure with this stoichiometry in meV/atom: 0
# Magnetic moment in μB/atom: 0.00
data_Ta3SiCl
_chemical_formula_sum 'Ta3 Si1 Cl1'
_space_group_name_H-M_alt 'P 1'
_space_group_IT_number 1
_cell_length_a 4.490
_cell_length_b 4.490
_cell_length_c 4.490
_cell_angle_alpha 90.00
_cell_angle_beta 90.00
_cell_angle_gamma 90.00
loop_
_space_group_symop_operation_xyz
'x,y,z'
loop_
_atom_site_label
_atom_site_type_symbol
_atom_site_fract_x
_atom_site_fract_y
_atom_site_fract_z
_atom_site_occupancy
Si1 Si 0.500 0.500 0.500 1
Cl1 Cl 0.000 0.000 0.000 1
Ta1 Ta 0.000 0.500 0.000 1
Ta2 Ta 0.000 0.000 0.500 1
Ta3 Ta 0.500 0.000 0.000 1

2.
# Ta4SiCl, optimized geometry, DFT PBE
# Symmetry: F-43m (216)
# E_form (uncorrected) in eV per atom: 0.87
# Magnetic moment in μB/atom: 0.00
data_Ta4SiCl
_chemical_formula_sum 'Ta4 Si1 Cl1'
_space_group_name_H-M_alt 'P 1'
_space_group_IT_number 1
_cell_length_a 5.497
_cell_length_b 5.497
_cell_length_c 5.497
_cell_angle_alpha 60.00
_cell_angle_beta 60.00
_cell_angle_gamma 60.00
loop_
_space_group_symop_operation_xyz
'x,y,z'
loop_
_atom_site_label
_atom_site_type_symbol
_atom_site_fract_x
_atom_site_fract_y
_atom_site_fract_z
_atom_site_occupancy
Ta1 Ta 0.875 0.375 0.375 1
Ta2 Ta 0.375 0.375 0.875 1
Ta3 Ta 0.375 0.875 0.375 1
Ta4 Ta 0.375 0.375 0.375 1
Si1 Si 0.000 0.000 0.000 1
Cl1 Cl 0.750 0.750 0.750 1

3.
# TaSi3Cl, optimized geometry, DFT PBE
# Symmetry: Pm-3m (221)
# E_form (uncorrected) in eV per atom: 1.30
# Energy above the lowest structure with this stoichiometry in meV/atom: 655
# Magnetic moment in μB/atom: 0.00
data_TaSi3Cl
_chemical_formula_sum 'Ta1 Si3 Cl1'
_space_group_name_H-M_alt 'P 1'
_space_group_IT_number 1
_cell_length_a 4.476
_cell_length_b 4.476
_cell_length_c 4.476
_cell_angle_alpha 90.00
_cell_angle_beta 90.00
_cell_angle_gamma 90.00
loop_
_space_group_symop_operation_xyz
'x,y,z'
loop_
_atom_site_label
_atom_site_type_symbol
_atom_site_fract_x
_atom_site_fract_y
_atom_site_fract_z
_atom_site_occupancy
Si1 Si 0.000 0.500 0.000 1
Si2 Si 0.000 0.000 0.500 1
Si3 Si 0.500 0.000 0.000 1
Cl1 Cl 0.000 0.000 0.000 1
Ta1 Ta 0.500 0.500 0.500 1

4.
# TaSi2Cl, optimized geometry, DFT PBE
# Symmetry: Pmmm (47)
# E_form (uncorrected) in eV per atom: 0.16
# Energy above the lowest structure with this stoichiometry in meV/atom: 210
# Magnetic moment in μB/atom: 0.00
data_TaSi2Cl
_chemical_formula_sum 'Ta1 Si2 Cl1'
_space_group_name_H-M_alt 'P 1'
_space_group_IT_number 1
_cell_length_a 2.872
_cell_length_b 4.361
_cell_length_c 5.158
_cell_angle_alpha 90.00
_cell_angle_beta 90.00
_cell_angle_gamma 90.00
loop_
_space_group_symop_operation_xyz
'x,y,z'
loop_
_atom_site_label
_atom_site_type_symbol
_atom_site_fract_x
_atom_site_fract_y
_atom_site_fract_z
_atom_site_occupancy
Cl1 Cl 0.500 0.500 0.750 1
Si1 Si 0.000 0.000 0.007 1
Si2 Si 0.000 0.000 0.493 1
Ta1 Ta 0.500 0.500 0.250 1

5.
# Tb4Si2Cl3, optimized geometry, DFT PBE
# Symmetry: C2/m (12)
# E_form (uncorrected) in eV per atom: -1.38
# Magnetic moment in μB/atom: 0.00
data_Tb4Si2Cl3
_chemical_formula_sum 'Tb4 Si2 Cl3'
_space_group_name_H-M_alt 'P 1'
_space_group_IT_number 1
_cell_length_a 4.093
_cell_length_b 4.093
_cell_length_c 16.838
_cell_angle_alpha 89.84
_cell_angle_beta 90.00
_cell_angle_gamma 120.00
loop_
_space_group_symop_operation_xyz
'x,y,z'
loop_
_atom_site_label
_atom_site_type_symbol
_atom_site_fract_x
_atom_site_fract_y
_atom_site_fract_z
_atom_site_occupancy
Tb1 Tb 0.666 0.331 0.112 1
Tb2 Tb 0.002 0.005 0.703 1
Tb3 Tb 0.998 0.995 0.297 1
Tb4 Tb 0.334 0.669 0.888 1
Si1 Si 0.332 0.663 0.201 1
Si2 Si 0.668 0.337 0.799 1
Cl1 Cl 0.336 0.673 0.609 1
Cl2 Cl 0.000 0.000 0.000 1
Cl3 Cl 0.664 0.327 0.391 1

6.
# Tb2SiCl3, optimized geometry, DFT PBE
# Symmetry: C2/m (12)
# E_form (uncorrected) in eV per atom: -1.60
# Magnetic moment in μB/atom: 0.00
data_Tb2SiCl3
_chemical_formula_sum 'Tb4 Si2 Cl6'
_space_group_name_H-M_alt 'P 1'
_space_group_IT_number 1
_cell_length_a 3.964
_cell_length_b 9.336
_cell_length_c 9.916
_cell_angle_alpha 81.26
_cell_angle_beta 78.47
_cell_angle_gamma 77.74
loop_
_space_group_symop_operation_xyz
'x,y,z'
loop_
_atom_site_label
_atom_site_type_symbol
_atom_site_fract_x
_atom_site_fract_y
_atom_site_fract_z
_atom_site_occupancy
Tb1 Tb 0.873 0.429 0.825 1
Tb2 Tb 0.127 0.571 0.175 1
Tb3 Tb 0.616 0.209 0.559 1
Tb4 Tb 0.384 0.791 0.441 1
Si1 Si 0.439 0.503 0.619 1
Si2 Si 0.561 0.497 0.381 1
Cl1 Cl 0.048 0.143 0.761 1
Cl2 Cl 0.952 0.857 0.239 1
Cl3 Cl 0.678 0.667 0.977 1
Cl4 Cl 0.322 0.333 0.023 1
Cl5 Cl 0.757 0.878 0.608 1
Cl6 Cl 0.243 0.122 0.392 1

7.
# Tb3SiCl3, optimized geometry, DFT PBE
# Symmetry: I4_132 (214)
# E_form (uncorrected) in eV per atom: -1.59
# Magnetic moment in μB/atom: 0.00
data_Tb3SiCl3
_chemical_formula_sum 'Tb12 Si4 Cl12'
_space_group_name_H-M_alt 'P 1'
_space_group_IT_number 1
_cell_length_a 9.818
_cell_length_b 9.818
_cell_length_c 9.818
_cell_angle_alpha 109.47
_cell_angle_beta 109.47
_cell_angle_gamma 109.47
loop_
_space_group_symop_operation_xyz
'x,y,z'
loop_
_atom_site_label
_atom_site_type_symbol
_atom_site_fract_x
_atom_site_fract_y
_atom_site_fract_z
_atom_site_occupancy
Tb1 Tb 0.985 0.492 0.242 1
Tb2 Tb 0.508 0.015 0.258 1
Tb3 Tb 0.250 0.008 0.492 1
Tb4 Tb 0.992 0.750 0.008 1
Tb5 Tb 0.992 0.242 0.485 1
Tb6 Tb 0.758 0.008 0.015 1
Tb7 Tb 0.742 0.485 0.492 1
Tb8 Tb 0.758 0.750 0.242 1
Tb9 Tb 0.515 0.258 0.008 1
Tb10 Tb 0.250 0.242 0.258 1
Tb11 Tb 0.742 0.258 0.750 1
Tb12 Tb 0.508 0.492 0.750 1
Si1 Si 0.750 0.500 0.000 1
Si2 Si 0.500 0.250 0.500 1
Si3 Si 0.750 0.250 0.250 1
Si4 Si 0.000 0.000 0.250 1
Cl1 Cl 0.248 0.998 0.996 1
Cl2 Cl 0.750 0.752 0.748 1
Cl3 Cl 0.496 0.748 0.998 1
Cl4 Cl 0.002 0.250 0.998 1
Cl5 Cl 0.252 0.748 0.250 1
Cl6 Cl 0.498 0.502 0.250 1
Cl7 Cl 0.248 0.250 0.752 1
Cl8 Cl 0.252 0.504 0.502 1
Cl9 Cl 0.750 0.998 0.502 1
Cl10 Cl 0.004 0.502 0.752 1
Cl11 Cl 0.002 0.752 0.504 1
Cl12 Cl 0.498 0.996 0.748 1

8.
# TbSiCl, optimized geometry, DFT PBE
# Symmetry: C2/m (12)
# E_form (uncorrected) in eV per atom: -1.18
# Magnetic moment in μB/atom: 0.00
data_TbSiCl
_chemical_formula_sum 'Tb4 Si4 Cl4'
_space_group_name_H-M_alt 'P 1'
_space_group_IT_number 1
_cell_length_a 3.757
_cell_length_b 7.501
_cell_length_c 11.438
_cell_angle_alpha 95.15
_cell_angle_beta 99.45
_cell_angle_gamma 90.00
loop_
_space_group_symop_operation_xyz
'x,y,z'
loop_
_atom_site_label
_atom_site_type_symbol
_atom_site_fract_x
_atom_site_fract_y
_atom_site_fract_z
_atom_site_occupancy
Cl1 Cl 0.098 0.333 0.196 1
Cl2 Cl 0.433 0.174 0.867 1
Cl3 Cl 0.567 0.826 0.133 1
Cl4 Cl 0.902 0.667 0.804 1
Si1 Si 0.248 0.624 0.495 1
Si2 Si 0.749 0.874 0.498 1
Si3 Si 0.752 0.376 0.505 1
Si4 Si 0.251 0.126 0.502 1
Tb1 Tb 0.351 0.408 0.701 1
Tb2 Tb 0.651 0.102 0.303 1
Tb3 Tb 0.649 0.592 0.299 1
Tb4 Tb 0.349 0.898 0.697 1

9.
# Tb4Si2Cl5, optimized geometry, DFT PBE
# Symmetry: C2/m (12)
# E_form (uncorrected) in eV per atom: -1.50
# Magnetic moment in μB/atom: 0.00
data_Tb4Si2Cl5
_chemical_formula_sum 'Tb4 Si2 Cl5'
_space_group_name_H-M_alt 'P 1'
_space_group_IT_number 1
_cell_length_a 3.887
_cell_length_b 7.965
_cell_length_c 11.347
_cell_angle_alpha 80.24
_cell_angle_beta 99.86
_cell_angle_gamma 90.00
loop_
_space_group_symop_operation_xyz
'x,y,z'
loop_
_atom_site_label
_atom_site_type_symbol
_atom_site_fract_x
_atom_site_fract_y
_atom_site_fract_z
_atom_site_occupancy
Tb1 Tb 0.662 0.546 0.325 1
Tb2 Tb 0.015 0.722 0.031 1
Tb3 Tb 0.338 0.454 0.675 1
Tb4 Tb 0.985 0.278 0.969 1
Si1 Si 0.552 0.447 0.103 1
Si2 Si 0.448 0.553 0.897 1
Cl1 Cl 0.135 0.788 0.270 1
Cl2 Cl 0.865 0.212 0.730 1
Cl3 Cl 0.222 0.335 0.444 1
Cl4 Cl 0.500 0.000 0.000 1
Cl5 Cl 0.778 0.665 0.556 1

10.
# TbSiCl6, optimized geometry, DFT PBE
# Symmetry: C2/m (12)
# E_form (uncorrected) in eV per atom: -1.42
# Magnetic moment in μB/atom: 0.00
data_TbSiCl6
_chemical_formula_sum 'Tb1 Si1 Cl6'
_space_group_name_H-M_alt 'P 1'
_space_group_IT_number 1
_cell_length_a 7.060
_cell_length_b 7.060
_cell_length_c 6.308
_cell_angle_alpha 97.28
_cell_angle_beta 97.28
_cell_angle_gamma 126.83
loop_
_space_group_symop_operation_xyz
'x,y,z'
loop_
_atom_site_label
_atom_site_type_symbol
_atom_site_fract_x
_atom_site_fract_y
_atom_site_fract_z
_atom_site_occupancy
Tb1 Tb 0.000 0.000 0.000 1
Si1 Si 0.500 0.500 0.500 1
Cl1 Cl 0.262 0.262 0.736 1
Cl2 Cl 0.409 0.145 0.275 1
Cl3 Cl 0.738 0.738 0.264 1
Cl4 Cl 0.855 0.591 0.725 1
Cl5 Cl 0.591 0.855 0.725 1
Cl6 Cl 0.145 0.409 0.275 1

Among the records above, which one has the highest E_form (uncorrected)?
TaSi3Cl